# LaEuRh | the Alexandria database | PBE | optimized geometry
data_LaEuRh
_cell_length_a 4.1551
_cell_length_b 4.1551
_cell_length_c 6.6607
_cell_angle_alpha 90.00
_cell_angle_beta 90.00
_cell_angle_gamma 120.00
_space_group_name_H-M_alt 'P 3 m 1'
_space_group_IT_number 156
_space_group_name_Hall 'P 3 -2"'
loop_
_atom_site_label
_atom_site_type_symbol
_atom_site_fract_x
_atom_site_fract_y
_atom_site_fract_z
La1 La 0.0000 0.0000 0.0000
Eu1 Eu 0.3333 0.6667 0.4753
Rh1 Rh 0.6667 0.3333 0.2149
# Formation energy (eV per atom): -0.4716
# Energy above the lowest structure with this stoichiometry (eV per atom): 0.000
# M_tot (μB/f.u.): 7.1
# Crystal system: trigonal
# Mass density (g/cm³): 6.6